SiTcBiRh2: optimized geometry, PBE.

Cell: 4.7694 4.6075 4.7694 Å, 90.00 90.00 90.00°
Last column: nearest neighbours and their distance in Å.
Sites, in units of the cell vectors:
Rh  0.0000  0.0000  0.5000  2 Tc 2.38
Rh  0.5000  0.0000  0.0000  2 Tc 2.38
Bi  0.5000  0.5000  0.5000  8 Rh 3.32, 4 Si 3.37
Tc  0.0000  0.0000  0.0000  2 Si 2.30, 4 Rh 2.38
Si  0.0000  0.5000  0.0000  2 Tc 2.30

Summary:
Its density is 8.57 g/cm³. As for the raw formation energy: 3.74 eV per formula unit. The value obtained for the density of states at the Fermi level is 4.0 states/eV per cell. The value obtained for the total energy is -30.631 eV per cell.